Here is DyCo4Ag3O12 after structural relaxation from OQMD via LeMat-Bulk. Energies are from PBE with a Hubbard U.

The structure in CIF format:
```
data_DyCo4Ag3O12
_chemical_formula_sum 'Dy2 Co8 Ag6 O24'
_symmetry_space_group_name_H-M 'I m -3'
_symmetry_Int_Tables_number 204
_symmetry_space_group_name_Hall '-I 2 2 3'
_cell_length_a 7.372
_cell_length_b 7.372
_cell_length_c 7.372
_cell_angle_alpha 90.00
_cell_angle_beta 90.00
_cell_angle_gamma 90.00
loop_
_atom_site_label
_atom_site_type_symbol
_atom_site_fract_x
_atom_site_fract_y
_atom_site_fract_z
_atom_site_occupancy
Dy1 Dy 0.000 0.000 0.000 1
Co1 Co 0.250 0.250 0.250 1
Ag1 Ag 0.000 0.000 0.500 1
O1 O 0.000 0.181 0.291 1
```

Values from the calculation:
The calculation puts the total energy at -0.204 hartree per atom. As for the spin magnetization: 8.00 μB per formula unit.